DFT (GGA-PBE) results for a relaxed Rb2Np2NiSe6 crystal.

The structure belongs to space group C2/m (No. 12); the cell edges are 7.433, 11.291 and 8.363 Å and the angles 90.00°, 105.53° and 90.00°. The distinct sites, in fractional coordinates, are Rb at (0.000, 0.189, 0.000), Np at (0.000, 0.334, 0.500), Ni at (0.000, 0.000, 0.500), Se at (0.181, 0.500, 0.735) and Se at (0.207, 0.146, 0.671).

For the final energy, the calculation gives -5.88 eV per atom. The formation energy (no corrections) is -10.19 eV per formula unit.


DFT (GGA-PBE) results for a relaxed KErAuO2 crystal.

The structure belongs to space group P2/c (No. 13); the cell edges are 6.653, 5.438 and 6.401 Å and the angles 90.00°, 95.57° and 90.00°. The distinct sites, in fractional coordinates, are K at (0.000, 0.204, 0.250), Er at (0.500, 0.019, 0.750), Au at (0.500, 0.500, 0.000) and O at (0.295, 0.108, 0.987).

For the final energy, the calculation gives -5.49 eV per atom. The formation energy (no corrections) is -8.61 eV per formula unit.


DFT (GGA-PBE) results for a relaxed BiHSe2N crystal.

The structure belongs to space group P4/mmm (No. 123); the cell edges are 5.688, 5.688 and 4.664 Å and the angles 90.00°, 90.00° and 90.00°. The distinct sites, in fractional coordinates, are Bi at (0.000, 0.000, 0.000), H at (0.500, 0.500, 0.500), Se at (0.000, 0.500, 0.000) and N at (0.000, 0.000, 0.500).

For the final energy, the calculation gives -2.99 eV per atom.